1.
64
Lattice="8.4329 0.0000 0.0000 0.0000 8.5022 0.0000 0.0000 0.0000 8.5022" Properties=species:S:1:pos:R:3 comment="CaMg30CuO32 | Alexandria | PBEsol | relaxed" spacegroup="P4/mmm (123)" formation_energy_uncorrected_ev_per_atom=-2.664 magmom_total_mub_per_atom=0.0157 dos_ef_per_ev_cell=3.3 pbc="T T T"
Ca 0.0000 0.0000 0.0000
Mg 0.0000 4.2511 0.0000
Mg 4.2164 4.2511 0.0000
Mg 0.0000 0.0000 4.2511
Mg 4.2164 0.0000 4.2511
Mg 0.0000 4.2511 4.2511
Mg 4.2164 4.2511 4.2511
Mg 2.1444 2.1586 0.0000
Mg 6.2885 2.1586 0.0000
Mg 2.1444 6.3437 0.0000
Mg 6.2885 6.3437 0.0000
Mg 2.1138 2.1290 4.2511
Mg 6.3191 2.1290 4.2511
Mg 2.1138 6.3733 4.2511
Mg 6.3191 6.3733 4.2511
Mg 2.1444 0.0000 2.1586
Mg 6.2885 0.0000 2.1586
Mg 2.1138 4.2511 2.1290
Mg 6.3191 4.2511 2.1290
Mg 2.1444 0.0000 6.3437
Mg 6.2885 0.0000 6.3437
Mg 2.1138 4.2511 6.3733
Mg 6.3191 4.2511 6.3733
Mg 0.0000 2.1499 2.1499
Mg 4.2164 2.1199 2.1199
Mg 0.0000 6.3524 2.1499
Mg 4.2164 6.3823 2.1199
Mg 0.0000 2.1499 6.3524
Mg 4.2164 2.1199 6.3823
Mg 0.0000 6.3524 6.3524
Mg 4.2164 6.3823 6.3823
Cu 4.2164 0.0000 0.0000
O 0.0000 0.0000 2.2196
O 4.2164 0.0000 2.1982
O 0.0000 4.2511 2.1423
O 4.2164 4.2511 2.1350
O 0.0000 0.0000 6.2827
O 4.2164 0.0000 6.3041
O 0.0000 4.2511 6.3599
O 4.2164 4.2511 6.3673
O 2.1078 2.1207 2.1207
O 6.3251 2.1207 2.1207
O 2.1078 6.3815 2.1207
O 6.3251 6.3815 2.1207
O 2.1078 2.1207 6.3815
O 6.3251 2.1207 6.3815
O 2.1078 6.3815 6.3815
O 6.3251 6.3815 6.3815
O 2.2507 0.0000 0.0000
O 6.1821 0.0000 0.0000
O 2.1157 4.2511 0.0000
O 6.3172 4.2511 0.0000
O 2.1157 0.0000 4.2511
O 6.3172 0.0000 4.2511
O 2.1096 4.2511 4.2511
O 6.3233 4.2511 4.2511
O 0.0000 2.2196 0.0000
O 4.2164 2.1982 0.0000
O 0.0000 6.2827 0.0000
O 4.2164 6.3041 0.0000
O 0.0000 2.1423 4.2511
O 4.2164 2.1350 4.2511
O 0.0000 6.3599 4.2511
O 4.2164 6.3673 4.2511



2.
5
Lattice="-1.7655 -2.5415 -3.3538 1.8157 -3.7411 1.8792 -3.8501 -0.6161 2.4936" Properties=species:S:1:pos:R:3 comment="FeCu2HgSb | Alexandria | PBEsol | relaxed" spacegroup="P4/mmm (123)" formation_energy_uncorrected_ev_per_atom=0.723 magmom_total_mub_per_atom=0.3608 dos_ef_per_ev_cell=2.8 pbc="T T T"
Sb -1.9251 -0.3080 1.2468
Hg -1.8999 -3.4493 0.5095
Cu 0.9079 -1.8705 0.9396
Cu -0.8827 -1.2708 -1.6769
Fe 0.0000 0.0000 0.0000



3.
5
Lattice="-2.9634 -3.7893 -0.1003 2.5397 -1.8902 -3.6232 2.8140 -2.2844 3.1643" Properties=species:S:1:pos:R:3 comment="In3OF | Alexandria | PBEsol | relaxed" spacegroup="Pm-3m (221)" formation_energy_uncorrected_ev_per_atom=-0.472 magmom_total_mub_per_atom=0.0001 dos_ef_per_ev_cell=2.1 pbc="T T T"
F 1.1952 -3.9820 -0.2796
O 0.0000 0.0000 0.0000
In 1.2698 -0.9451 -1.8116
In 1.4070 -1.1422 1.5822
In -1.4817 -1.8947 -0.0501



4.
5
Lattice="-4.8516 -0.4598 -0.9138 0.3165 -4.8865 0.7782 -0.9887 0.7146 4.8897" Properties=species:S:1:pos:R:3 comment="TaSnAsSe2 | Alexandria | PBEsol | relaxed" e_above_lowest_polymorph_mev_per_atom=0 spacegroup="P4/mmm (123)" formation_energy_uncorrected_ev_per_atom=-0.013 magmom_total_mub_per_atom=0.0000 dos_ef_per_ev_cell=2.7 pbc="T T T"
As -0.4943 0.3573 2.4449
Sn -2.7619 -2.3158 2.3770
Se 0.1583 -2.4433 0.3891
Se -2.4258 -0.2299 -0.4569
Ta 0.0000 0.0000 0.0000



5.
5
Lattice="3.4702 0.0000 0.0000 0.0000 4.6041 0.0000 0.0000 0.0000 4.6041" Properties=species:S:1:pos:R:3 comment="Ni2TeHN | Alexandria | PBEsol | relaxed" dft_energy_ev_per_cell=-19.49 spacegroup="P4/mmm (123)" magmom_total_mub_per_atom=0.0000 dos_ef_per_ev_cell=2.8 pbc="T T T"
Ni 0.0000 0.0000 2.3020
Ni 0.0000 2.3020 0.0000
Te 0.0000 0.0000 0.0000
H 1.7351 0.0000 0.0000
N 1.7351 2.3020 2.3020



6.
5
Lattice="-2.4614 0.7108 4.0767 2.5318 -3.4934 2.1377 3.2734 3.2364 1.4121" Properties=species:S:1:pos:R:3 comment="TiCdS3 | Alexandria | PBEsol | relaxed" spacegroup="Pm-3m (221)" formation_energy_uncorrected_ev_per_atom=0.547 magmom_total_mub_per_atom=0.1944 dos_ef_per_ev_cell=6.7 pbc="T T T"
S 1.2659 -1.7467 1.0689
S 1.6367 1.6182 0.7060
S -1.2307 0.3554 2.0384
Ti 1.6719 0.2269 3.8133
Cd 0.0000 0.0000 0.0000